## ZnIn2IN (GGA-PBE)

Data for ZnIn2IN after structural relaxation.

Cell lengths 5.3452, 5.3452, 5.8054 Å; angles 90.00, 90.00, 90.00 degrees
Space group P4/mmm (No. 123)
Inequivalent atoms, fractional coordinates:
1 Zn 0.0000 0.0000 0.0000 (multiplicity 1)
2 In 0.0000 0.5000 0.0000 (multiplicity 2)
3 I 0.0000 0.0000 0.5000 (multiplicity 1)
4 N 0.5000 0.5000 0.5000 (multiplicity 1)

Calculated values
Formation energy from raw total energies in eV/atom: 1.059

---

## AcZnAg2Pd (GGA-PBE)

Data for AcZnAg2Pd after structural relaxation.

Cell lengths 4.1934, 4.2249, 12.6663 Å; angles 90.00, 90.00, 90.00 degrees
Space group Imm2 (No. 44)
Inequivalent atoms, fractional coordinates:
1 Ac 0.0000 0.0000 0.0000 (multiplicity 2)
2 Zn 0.0000 0.5000 0.7696 (multiplicity 2)
3 Ag 0.0000 0.0000 0.6249 (multiplicity 2)
4 Ag 0.0000 0.5000 0.2664 (multiplicity 2)
5 Pd 0.0000 0.0000 0.4068 (multiplicity 2)

Calculated values
DFT formation energy in eV/atom: -0.37

---

## CsBa2VBr8 (GGA-PBE)

Data for CsBa2VBr8 after structural relaxation.

Cell lengths 7.0039, 7.0536, 9.9460 Å; angles 90.18, 90.08, 90.25 degrees
Space group P-1 (No. 2)
Inequivalent atoms, fractional coordinates:
1 Cs 0.0000 0.0000 0.0000 (multiplicity 1)
2 Ba 0.4992 0.4982 0.7387 (multiplicity 2)
3 V 0.0000 0.0000 0.5000 (multiplicity 1)
4 Br 0.1378 0.7843 0.3170 (multiplicity 2)
5 Br 0.1418 0.7875 0.6822 (multiplicity 2)
6 Br 0.3081 0.2152 0.4983 (multiplicity 2)
7 Br 0.4212 0.2523 0.0003 (multiplicity 2)

Calculated values
Formation energy from raw total energies in eV/atom: -1.596

---

## PuPa2Se5 (GGA-PBE)

Data for PuPa2Se5 after structural relaxation.

Cell lengths 7.8015, 12.6687, 4.0582 Å; angles 90.00, 90.00, 90.00 degrees
Space group Pbam (No. 55)
Inequivalent atoms, fractional coordinates:
1 Pu 0.0000 0.0000 0.0000 (multiplicity 2)
2 Pa 0.0251 0.3219 0.5000 (multiplicity 4)
3 Se 0.0000 0.5000 0.0000 (multiplicity 2)
4 Se 0.1710 0.1113 0.5000 (multiplicity 4)
5 Se 0.1835 0.8006 0.0000 (multiplicity 4)

Calculated values
ΔE to the lowest computed polymorph in meV per atom: 63
Formation energy from raw total energies in eV/atom: -1.340

---

no.,final energy (eV/f.u.)
1,-11.33
2,-18.11
3,-46.35
4,-61.47